DFT (GGA-PBEsol) results for an optimized crystal structure of Ba3TlFe.

The density of states at the Fermi level comes out at 6.2 states/eV per cell. As for the space group: Pm-3m, No. 221. For the energy of formation from the pure elements, the calculation gives 0.305 eV per atom. The total magnetic moment comes out at 1.28 μB per formula unit.

Cell: 5.724 5.724 5.724 Å, 90.00 90.00 90.00°
Site moments in Bohr magnetons follow the coordinates.
Sites, in units of the cell vectors:
Tl: 0.500 0.500 0.500  0.02
Ba: 0.000 0.500 0.000  -0.06
Ba: 0.000 0.000 0.500  -0.06
Ba: 0.500 0.000 0.000  -0.06
Fe: 0.000 0.000 0.000  1.60

***

DFT (GGA-PBEsol) results for an optimized crystal structure of Mg5Ag4.

Its relative energy among the computed polymorphs is 56 meV/atom. The density of states at the Fermi level comes out at 2.5 states/eV per cell. As for the space group: I4/mmm, No. 139. For the energy of formation from the pure elements, the calculation gives -0.129 eV per atom. The total magnetic moment comes out at 0.00 μB per formula unit.

Cell: 4.379 6.515 6.515 Å, 83.51 70.36 70.36°
Sites, in units of the cell vectors:
Ag: 0.666 0.334 0.334
Ag: 0.334 0.666 0.666
Ag: 0.000 0.334 0.666
Ag: 0.000 0.666 0.334
Mg: 0.000 0.000 0.000
Mg: 0.672 0.656 0.000
Mg: 0.328 0.000 0.344
Mg: 0.672 0.000 0.656
Mg: 0.328 0.344 0.000

***

DFT (GGA-PBEsol) results for an optimized crystal structure of TlPbCl3.

The density of states at the Fermi level comes out at 0.0 states/eV per cell. As for the space group: Fmm2, No. 42. The total magnetic moment comes out at 0.00 μB per formula unit. Its formation energy from raw total energies is -1040 meV per atom.

Cell: 11.203 11.203 11.332 Å, 117.36 117.36 94.03°
Sites, in units of the cell vectors:
Tl: 0.473 0.473 0.319
Tl: 0.845 0.845 0.319
Tl: 0.976 0.647 0.005
Tl: 0.647 0.976 0.005
Tl: 0.001 0.512 0.514
Tl: 0.358 0.029 0.005
Tl: 0.029 0.358 0.005
Tl: 0.512 0.001 0.514
Pb: 0.750 0.250 0.499
Pb: 0.135 0.135 0.270
Pb: 0.354 0.650 0.004
Pb: 0.153 0.153 0.664
Pb: 0.650 0.354 0.004
Pb: 0.511 0.511 0.664
Pb: 0.857 0.857 0.714
Pb: 0.250 0.750 0.499
Cl: 0.440 0.213 0.376
Cl: 0.570 0.940 0.241
Cl: 0.687 0.687 0.374
Cl: 0.936 0.163 0.376
Cl: 0.163 0.936 0.376
Cl: 0.171 0.801 0.972
Cl: 0.671 0.301 0.241
Cl: 0.301 0.671 0.241
Cl: 0.884 0.884 0.002
Cl: 0.365 0.365 0.984
Cl: 0.213 0.440 0.376
Cl: 0.940 0.570 0.241
Cl: 0.066 0.417 0.761
Cl: 0.780 0.559 0.641
Cl: 0.118 0.118 0.002
Cl: 0.619 0.619 0.984
Cl: 0.695 0.344 0.761
Cl: 0.344 0.695 0.761
Cl: 0.801 0.171 0.972
Cl: 0.861 0.082 0.641
Cl: 0.082 0.861 0.641
Cl: 0.316 0.316 0.631
Cl: 0.417 0.066 0.761
Cl: 0.559 0.780 0.641

***

DFT (GGA-PBEsol) results for an optimized crystal structure of SiNi2Au.

The density of states at the Fermi level comes out at 1.6 states/eV per cell. As for the space group: P4/mmm, No. 123. The total magnetic moment comes out at 0.00 μB per formula unit. Its formation energy from raw total energies is -371 meV per atom.

Cell: 2.764 2.764 6.382 Å, 90.00 90.00 90.00°
Sites, in units of the cell vectors:
Au: 0.500 0.500 0.500
Ni: 0.000 0.000 0.797
Ni: 0.000 0.000 0.203
Si: 0.500 0.500 0.000

***

DFT (GGA-PBEsol) results for an optimized crystal structure of SnPbS2.

Its relative energy among the computed polymorphs is 0 meV/atom. As for the space group: Pmc2_1, No. 26. The total magnetic moment comes out at 0.00 μB per formula unit. Its formation energy from raw total energies is -496 meV per atom.

Cell: 4.059 4.202 11.306 Å, 90.00 90.00 90.00°
Sites, in units of the cell vectors:
Sn: 0.500 0.364 0.375
Sn: 0.500 0.636 0.875
Pb: 0.000 0.151 0.614
Pb: 0.000 0.849 0.114
S: 0.000 0.224 0.861
S: 0.000 0.776 0.361
S: 0.500 0.300 0.150
S: 0.500 0.700 0.650

***

DFT (GGA-PBEsol) results for an optimized crystal structure of Hf2NiH2.

The density of states at the Fermi level comes out at 3.7 states/eV per cell. As for the space group: I4/mmm, No. 139. As for the total DFT energy (no corrections): -0.5325 Ry/atom. The total magnetic moment comes out at 0.00 μB per formula unit.

Cell: 3.116 3.116 6.225 Å, 104.49 104.49 90.00°
Sites, in units of the cell vectors:
Ni: 0.000 0.000 0.000
Hf: 0.365 0.365 0.729
Hf: 0.635 0.635 0.271
H: 0.250 0.750 0.500
H: 0.750 0.250 0.500

***

DFT (GGA-PBEsol) results for an optimized crystal structure of CrTc2W.

The density of states at the Fermi level comes out at 4.3 states/eV per cell. As for the space group: P4/mmm, No. 123. For the energy of formation from the pure elements, the calculation gives 0.091 eV per atom. The total magnetic moment comes out at 1.58 μB per formula unit.

Cell: 3.044 4.284 4.284 Å, 90.00 90.00 90.00°
Site moments in Bohr magnetons follow the coordinates.
Sites, in units of the cell vectors:
Cr: 0.500 0.500 0.500  1.56
Tc: 0.000 0.500 0.000  -0.06
Tc: 0.000 0.000 0.500  -0.06
W: 0.500 0.000 0.000  0.05

***

DFT (GGA-PBEsol) results for an optimized crystal structure of AlNiCl2.

Its relative energy among the computed polymorphs is 684 meV/atom. The density of states at the Fermi level comes out at 2.8 states/eV per cell. As for the space group: I-4m2, No. 119. The total magnetic moment comes out at 0.04 μB per formula unit. Its formation energy from raw total energies is 96 meV per atom.

Cell: 3.554 3.554 6.039 Å, 107.11 107.11 90.00°
Sites, in units of the cell vectors:
Ni: 0.500 0.500 0.000
Al: 0.250 0.750 0.500
Cl: 0.000 0.000 0.000
Cl: 0.750 0.250 0.500

***

DFT (GGA-PBEsol) results for an optimized crystal structure of TcSbRu2.

The density of states at the Fermi level comes out at 2.6 states/eV per cell. As for the space group: P4/mmm, No. 123. The total magnetic moment comes out at 0.00 μB per formula unit. Its formation energy from raw total energies is 200 meV per atom.

Cell: 2.898 2.898 7.181 Å, 90.00 90.00 90.00°
Sites, in units of the cell vectors:
Ru: 0.000 0.000 0.739
Ru: 0.000 0.000 0.261
Sb: 0.500 0.500 0.000
Tc: 0.500 0.500 0.500

***

DFT (GGA-PBEsol) results for an optimized crystal structure of PbC.

Its relative energy among the computed polymorphs is 571 meV/atom. The density of states at the Fermi level comes out at 0.1 states/eV per cell. As for the space group: F-43m, No. 216. For the energy of formation from the pure elements, the calculation gives 1.459 eV per atom. The total magnetic moment comes out at 0.00 μB per formula unit.

Cell: 3.728 3.728 3.728 Å, 60.00 60.00 60.00°
Sites, in units of the cell vectors:
Pb: 0.250 0.250 0.250
C: 0.000 0.000 0.000

***

DFT (GGA-PBEsol) results for an optimized crystal structure of NiAgOF2.

The density of states at the Fermi level comes out at 2.3 states/eV per cell. As for the space group: P4/mmm, No. 123. The total magnetic moment comes out at 1.73 μB per formula unit. Its formation energy from raw total energies is -895 meV per atom.

Cell: 3.555 3.984 3.984 Å, 90.00 90.00 90.00°
Site moments in Bohr magnetons follow the coordinates.
Sites, in units of the cell vectors:
Ni: 0.000 0.000 0.000  1.10
O: 0.500 0.000 0.000  0.41
Ag: 0.500 0.500 0.500  0.05
F: 0.000 0.000 0.500  0.05
F: 0.000 0.500 0.000  0.05

***

DFT (GGA-PBEsol) results for an optimized crystal structure of Mg2CoTe.

The density of states at the Fermi level comes out at 4.3 states/eV per cell. As for the space group: I4_1/amd, No. 141. The total magnetic moment comes out at 0.00 μB per formula unit. Its formation energy from raw total energies is 151 meV per atom.

Cell: 4.661 7.229 7.229 Å, 84.04 71.20 71.20°
Sites, in units of the cell vectors:
Mg: 0.875 0.750 0.750
Mg: 0.375 0.250 0.250
Mg: 0.375 0.750 0.250
Mg: 0.375 0.250 0.750
Te: 0.000 0.000 0.000
Te: 0.750 0.500 0.500
Co: 0.500 0.000 0.000
Co: 0.250 0.500 0.500

***

DFT (GGA-PBEsol) results for an optimized crystal structure of LiMg2Au2.

Its relative energy among the computed polymorphs is 0 meV/atom. The density of states at the Fermi level comes out at 3.7 states/eV per cell. As for the space group: P4/mbm, No. 127. For the energy of formation from the pure elements, the calculation gives -0.493 eV per atom. The total magnetic moment comes out at 0.00 μB per formula unit.

Cell: 3.257 7.510 7.510 Å, 90.00 90.00 90.00°
Sites, in units of the cell vectors:
Mg: 0.500 0.156 0.656
Mg: 0.500 0.656 0.844
Mg: 0.500 0.844 0.344
Mg: 0.500 0.344 0.156
Au: 0.000 0.358 0.858
Au: 0.000 0.858 0.642
Au: 0.000 0.642 0.142
Au: 0.000 0.142 0.358
Li: 0.000 0.000 0.000
Li: 0.000 0.500 0.500

***

DFT (GGA-PBEsol) results for an optimized crystal structure of Ba3Pt.

The density of states at the Fermi level comes out at 7.9 states/eV per cell. As for the space group: Pmmn, No. 59. For the energy of formation from the pure elements, the calculation gives -0.331 eV per atom. The total magnetic moment comes out at 0.00 μB per formula unit.

Cell: 4.232 7.604 10.829 Å, 90.00 90.00 90.00°
Sites, in units of the cell vectors:
Ba: 0.000 0.500 0.475
Ba: 0.500 0.239 0.174
Ba: 0.000 0.261 0.826
Ba: 0.500 0.000 0.525
Ba: 0.500 0.761 0.174
Ba: 0.000 0.739 0.826
Pt: 0.500 0.500 0.682
Pt: 0.000 0.000 0.318

***

DFT (GGA-PBEsol) results for an optimized crystal structure of RbCuBi2W.

The density of states at the Fermi level comes out at 3.8 states/eV per cell. As for the space group: P4/mmm, No. 123. For the energy of formation from the pure elements, the calculation gives 1.111 eV per atom. The total magnetic moment comes out at 3.50 μB per formula unit.

Cell: 4.997 5.308 5.308 Å, 90.00 90.00 90.00°
Site moments in Bohr magnetons follow the coordinates.
Sites, in units of the cell vectors:
Rb: 0.500 0.500 0.500  0.02
Cu: 0.000 0.000 0.000  0.10
Bi: 0.000 0.000 0.500  -0.08
Bi: 0.000 0.500 0.000  -0.08
W: 0.500 0.000 0.000  2.56

***

DFT (GGA-PBEsol) results for an optimized crystal structure of TaBeCo.

Its relative energy among the computed polymorphs is 0 meV/atom. The density of states at the Fermi level comes out at 2.6 states/eV per cell. As for the space group: I4mm, No. 107. For the energy of formation from the pure elements, the calculation gives -0.147 eV per atom. The total magnetic moment comes out at 0.47 μB per formula unit.

Cell: 2.803 2.803 4.898 Å, 106.63 106.63 90.00°
Site moments in Bohr magnetons follow the coordinates.
Sites, in units of the cell vectors:
Be: 0.973 0.973 0.946  0.00
Co: 0.359 0.359 0.717  0.38
Ta: 0.669 0.669 0.337  0.07

***

DFT (GGA-PBEsol) results for an optimized crystal structure of TbCo3.

The density of states at the Fermi level comes out at 16.8 states/eV per cell. As for the space group: R-3m, No. 166. For the energy of formation from the pure elements, the calculation gives -0.160 eV per atom. The total magnetic moment comes out at 3.30 μB per formula unit.

Cell: 4.880 4.880 8.492 Å, 73.30 73.30 60.00°
Site moments in Bohr magnetons follow the coordinates.
Sites, in units of the cell vectors:
Tb: 0.860 0.860 0.420  -0.35
Tb: 0.140 0.140 0.580  -0.35
Tb: 0.000 0.000 0.000  -0.27
Co: 0.419 0.419 0.243  1.19
Co: 0.419 0.920 0.243  1.19
Co: 0.920 0.419 0.243  1.19
Co: 0.581 0.581 0.757  1.19
Co: 0.581 0.080 0.757  1.19
Co: 0.080 0.581 0.757  1.19
Co: 0.666 0.666 0.003  1.40
Co: 0.334 0.334 0.997  1.40
Co: 0.500 0.500 0.500  1.08

***

DFT (GGA-PBEsol) results for an optimized crystal structure of BWN3.

The density of states at the Fermi level comes out at 3.2 states/eV per cell. As for the space group: Pm-3m, No. 221. The total magnetic moment comes out at 0.00 μB per formula unit. Its formation energy from raw total energies is 900 meV per atom.

Cell: 3.337 3.337 3.337 Å, 90.00 90.00 90.00°
Sites, in units of the cell vectors:
B: 0.000 0.000 0.000
W: 0.500 0.500 0.500
N: 0.000 0.500 0.000
N: 0.000 0.000 0.500
N: 0.500 0.000 0.000

***

DFT (GGA-PBEsol) results for an optimized crystal structure of TaNbCu6Se8.

As for the space group: F-43m, No. 216. The total magnetic moment comes out at 0.00 μB per formula unit. Its formation energy from raw total energies is -477 meV per atom.

Cell: 7.902 7.902 7.902 Å, 60.00 60.00 60.00°
Sites, in units of the cell vectors:
Ta: 0.500 0.500 0.500
Nb: 0.000 0.000 0.000
Cu: 0.750 0.250 0.250
Cu: 0.250 0.750 0.750
Cu: 0.250 0.250 0.750
Cu: 0.750 0.750 0.250
Cu: 0.250 0.750 0.250
Cu: 0.750 0.250 0.750
Se: 0.620 0.127 0.127
Se: 0.121 0.626 0.626
Se: 0.127 0.127 0.620
Se: 0.626 0.626 0.121
Se: 0.127 0.620 0.127
Se: 0.626 0.121 0.626
Se: 0.127 0.127 0.127
Se: 0.626 0.626 0.626

***

DFT (GGA-PBEsol) results for an optimized crystal structure of YBe2Cu.

Its relative energy among the computed polymorphs is 214 meV/atom. The density of states at the Fermi level comes out at 2.0 states/eV per cell. As for the space group: Pm, No. 6. For the energy of formation from the pure elements, the calculation gives 0.101 eV per atom. The total magnetic moment comes out at 0.00 μB per formula unit.

Cell: 3.077 3.612 5.440 Å, 90.00 106.30 90.00°
Sites, in units of the cell vectors:
Y: 0.210 0.500 0.792
Be: 0.848 0.000 0.069
Be: 0.941 0.500 0.262
Cu: 0.501 0.000 0.377